VASP calculation (PBE-GGA) on a relaxed structure of AcNd3B4O12.

Cell lengths 6.7478, 6.7478, 6.7478 Å; angles 101.53, 101.53, 101.53 degrees
Last column: nearest neighbours and their distance in Å.
Fractional positions:
Ac: 0.0000 0.0000 0.0000  6 O 2.58
Nd: 0.0000 0.5306 0.4694  6 O 2.36-2.41
Nd: 0.4694 0.0000 0.5306  6 O 2.36-2.41
Nd: 0.5306 0.4694 0.0000  6 O 2.36-2.41
B: 0.0328 0.5000 0.9672  3 O 1.39
B: 0.5000 0.5000 0.5000  3 O 1.39
B: 0.5000 0.9672 0.0328  3 O 1.39
B: 0.9672 0.0328 0.5000  3 O 1.39
O: 0.0256 0.6302 0.8314  1 B 1.39
O: 0.0998 0.9002 0.5000  1 B 1.39
O: 0.1686 0.3698 0.9744  1 B 1.39
O: 0.3675 0.6325 0.5000  1 B 1.39
O: 0.3698 0.9744 0.1686  1 B 1.39
O: 0.5000 0.0998 0.9002  1 B 1.39
O: 0.5000 0.3675 0.6325  1 B 1.39
O: 0.6302 0.8314 0.0256  1 B 1.39
O: 0.6325 0.5000 0.3675  1 B 1.39
O: 0.8314 0.0256 0.6302  1 B 1.39
O: 0.9002 0.5000 0.0998  1 B 1.39
O: 0.9744 0.1686 0.3698  1 B 1.39

## Properties
**Energy**: -8.252 eV/atom
**DOS(E_F)**: 0.00 states/eV/cell
**Formation energy (no corrections)**: -3.021 eV per atom
**SG**: No. 155

VASP calculation (PBE-GGA) on a relaxed structure of Y3ZnSi3.

Cell lengths 9.3713, 9.3713, 9.3713 Å; angles 155.81, 154.03, 35.78 degrees
Last column: nearest neighbours and their distance in Å.
Fractional positions:
Y: 0.0000 0.0000 0.0000  5 Si 2.97-2.99, 2 Zn 2.99
Y: 0.1903 0.6903 0.5000  8 Si 3.08-3.40, 4 Zn 3.15
Y: 0.3707 0.3707 0.0000  7 Si 2.96-3.03
Zn: 0.6189 0.1189 0.5000  3 Si 2.36-2.41
Si: 0.5405 0.5405 0.0000  2 Zn 2.41
Si: 0.7512 0.2512 0.5000  1 Zn 2.36, 2 Si 2.44
Si: 0.8323 0.8323 0.0000  2 Si 2.44

## Properties
**Energy**: -6.001 eV/atom
**DOS(E_F)**: 4.82 states/eV/cell
**Formation energy (no corrections)**: -0.724 eV per atom
**SG**: No. 44

VASP calculation (PBE-GGA) on a relaxed structure of LiSnB.

Cell lengths 7.2206, 7.2206, 7.2206 Å; angles 97.23, 97.23, 138.46 degrees
Last column: nearest neighbours and their distance in Å.
Fractional positions:
Li: 0.0000 0.2177 0.2177  2 Sn 2.74, 2 Li 2.94, 4 B 2.96
Li: 0.0000 0.7823 0.7823  2 Sn 2.74, 2 Li 2.94, 4 B 2.96
Li: 0.2177 0.0000 0.2177  2 Sn 2.74, 2 Li 2.94, 4 B 2.96
Li: 0.7823 0.0000 0.7823  2 Sn 2.74, 2 Li 2.94, 4 B 2.96
Sn: 0.1815 0.5000 0.6815  2 B 2.34
Sn: 0.5000 0.1815 0.6815  2 B 2.34
Sn: 0.5000 0.8185 0.3185  2 B 2.34
Sn: 0.8185 0.5000 0.3185  2 B 2.34
B: 0.4094 0.4094 0.8189  2 B 1.73
B: 0.4094 0.5906 0.0000  2 B 1.73
B: 0.5906 0.4094 0.0000  2 B 1.73
B: 0.5906 0.5906 0.1811  2 B 1.73

## Properties
**Energy**: -3.758 eV/atom
**DOS(E_F)**: 2.49 states/eV/cell
**Formation enthalpy at 0 K**: 0.4403 eV/atom
**SG**: No. 139
**E above lowest polymorph**: 51.16 kJ/mol of atoms

VASP calculation (PBE-GGA) on a relaxed structure of ZnFePCl2.

Cell lengths 4.7796, 4.7796, 4.4387 Å; angles 90.00, 90.00, 90.00 degrees
Last column: nearest neighbours and their distance in Å.
Fractional positions:
Zn: 0.0000 0.0000 0.0000  8 Cl 3.26, 4 P 3.38
Fe: 0.5000 0.5000 0.5000  2 P 2.22, 4 Cl 2.39
P: 0.5000 0.5000 0.0000  2 Fe 2.22
Cl: 0.0000 0.5000 0.5000  2 Fe 2.39
Cl: 0.5000 0.0000 0.5000  2 Fe 2.39

## Properties
**Energy**: -3.618 eV/atom
**DOS(E_F)**: 3.51 states/eV/cell
**Formation energy (no corrections)**: 0.150 eV per atom
**SG**: No. 123
**E above lowest polymorph**: 0.00 kJ/mol of atoms

VASP calculation (PBE-GGA) on a relaxed structure of CoTc8.

Cell lengths 6.0809, 6.0809, 6.0809 Å; angles 95.68, 95.68, 143.32 degrees
Last column: nearest neighbours and their distance in Å.
Fractional positions:
Co: 0.0000 0.0000 0.0000  12 Tc 2.67
Tc: 0.0000 0.3270 0.3270  1 Co 2.67, 11 Tc 2.69-2.82
Tc: 0.0000 0.6730 0.6730  1 Co 2.67, 11 Tc 2.69-2.82
Tc: 0.3270 0.0000 0.3270  1 Co 2.67, 11 Tc 2.69-2.82
Tc: 0.3389 0.3389 0.6777  10 Tc 2.63-2.81, 2 Co 2.67
Tc: 0.3389 0.6611 0.0000  10 Tc 2.63-2.81, 2 Co 2.67
Tc: 0.6611 0.3389 0.0000  10 Tc 2.63-2.81, 2 Co 2.67
Tc: 0.6611 0.6611 0.3223  10 Tc 2.63-2.81, 2 Co 2.67
Tc: 0.6730 0.0000 0.6730  1 Co 2.67, 11 Tc 2.69-2.82

## Properties
**Energy**: -9.927 eV/atom
**DOS(E_F)**: 11.87 states/eV/cell
**Formation enthalpy at 0 K**: 0.0764 eV/atom
**SG**: No. 139

VASP calculation (PBE-GGA) on a relaxed structure of Nd5ThSn4.

Cell lengths 8.7403, 8.7403, 7.2555 Å; angles 90.64, 90.64, 36.71 degrees
Last column: nearest neighbours and their distance in Å.
Fractional positions:
Nd: 0.0000 0.0000 0.0000  6 Sn 3.29-3.45, 2 Th 3.63
Nd: 0.3338 0.3338 0.0090  5 Sn 3.22-3.35, 1 Nd 3.52
Nd: 0.3338 0.3338 0.4940  5 Sn 3.20-3.41, 1 Nd 3.52
Nd: 0.6662 0.6662 0.5060  5 Sn 3.20-3.41, 1 Nd 3.52
Nd: 0.6662 0.6662 0.9910  5 Sn 3.22-3.35, 1 Nd 3.52
Th: 0.0000 0.0000 0.5000  6 Sn 3.31-3.41, 2 Nd 3.63
Sn: 0.1753 0.1753 0.7492  7 Nd 3.22-3.45, 1 Th 3.41
Sn: 0.4919 0.4919 0.7517  6 Nd 3.20-3.41, 2 Th 3.31
Sn: 0.5081 0.5081 0.2483  6 Nd 3.20-3.41, 2 Th 3.31
Sn: 0.8247 0.8247 0.2508  7 Nd 3.22-3.45, 1 Th 3.41

## Properties
**Energy**: -5.235 eV/atom
**DOS(E_F)**: 6.80 states/eV/cell
**Formation enthalpy at 0 K**: -0.5082 eV/atom
**SG**: No. 12

VASP calculation (PBE-GGA) on a relaxed structure of Ac4DyTh3As8.

Cell lengths 8.7874, 8.7874, 8.7874 Å; angles 59.52, 59.52, 59.52 degrees
Last column: nearest neighbours and their distance in Å.
Fractional positions:
Ac: 0.0000 0.0000 0.0000  6 As 3.20
Ac: 0.0000 0.5000 0.5000  6 As 3.18
Ac: 0.5000 0.0000 0.5000  6 As 3.18
Ac: 0.5000 0.5000 0.0000  6 As 3.18
Dy: 0.5000 0.5000 0.5000  6 As 3.00
Th: 0.0000 0.0000 0.5000  6 As 3.02
Th: 0.0000 0.5000 0.0000  6 As 3.02
Th: 0.5000 0.0000 0.0000  6 As 3.02
As: 0.2436 0.2436 0.2436  3 Th 3.02, 3 Ac 3.18
As: 0.2451 0.7419 0.7419  1 Dy 3.00, 2 Th 3.02, 3 Ac 3.18-3.20
As: 0.2581 0.2581 0.7549  1 Dy 3.00, 2 Th 3.02, 3 Ac 3.18-3.20
As: 0.2581 0.7549 0.2581  1 Dy 3.00, 2 Th 3.02, 3 Ac 3.18-3.20
As: 0.7419 0.2451 0.7419  1 Dy 3.00, 2 Th 3.02, 3 Ac 3.18-3.20
As: 0.7419 0.7419 0.2451  1 Dy 3.00, 2 Th 3.02, 3 Ac 3.18-3.20
As: 0.7549 0.2581 0.2581  1 Dy 3.00, 2 Th 3.02, 3 Ac 3.18-3.20
As: 0.7564 0.7564 0.7564  3 Th 3.02, 3 Ac 3.18

## Properties
**Energy**: -6.488 eV/atom
**DOS(E_F)**: 4.69 states/eV/cell
**Formation enthalpy at 0 K**: -1.4569 eV/atom
**SG**: No. 166

VASP calculation (PBE-GGA) on a relaxed structure of Mn2RhAu2.

Cell lengths 6.9154, 6.9154, 3.5057 Å; angles 90.00, 90.00, 90.00 degrees
Last column: nearest neighbours and their distance in Å.
Fractional positions:
Mn: 0.1479 0.3521 0.0000  6 Au 2.62-2.72, 2 Rh 2.64, 1 Mn 2.89
Mn: 0.3521 0.8521 0.0000  6 Au 2.62-2.72, 2 Rh 2.64, 1 Mn 2.89
Mn: 0.6479 0.1479 0.0000  6 Au 2.62-2.72, 2 Rh 2.64, 1 Mn 2.89
Mn: 0.8521 0.6479 0.0000  6 Au 2.62-2.72, 2 Rh 2.64, 1 Mn 2.89
Rh: 0.0000 0.0000 0.0000  4 Mn 2.64
Rh: 0.5000 0.5000 0.0000  4 Mn 2.64
Au: 0.1524 0.6524 0.5000  6 Mn 2.62-2.72
Au: 0.3476 0.1524 0.5000  6 Mn 2.62-2.72
Au: 0.6524 0.8476 0.5000  6 Mn 2.62-2.72
Au: 0.8476 0.3476 0.5000  6 Mn 2.62-2.72

## Properties
**Energy**: -6.290 eV/atom
**DOS(E_F)**: 3.06 states/eV/cell
**Formation enthalpy at 0 K**: 0.1595 eV/atom
**SG**: No. 127
**E above lowest polymorph**: 0.00 kJ/mol of atoms

VASP calculation (PBE-GGA) on a relaxed structure of RbSn2Hg.

Cell lengths 8.6862, 4.9278, 13.0427 Å; angles 90.00, 90.00, 90.00 degrees
Last column: nearest neighbours and their distance in Å.
Fractional positions:
Rb: 0.1283 0.2500 0.1321  9 Sn 3.76-4.10, 4 Hg 3.90-4.18
Rb: 0.3717 0.7500 0.6321  9 Sn 3.76-4.10, 4 Hg 3.90-4.18
Rb: 0.6283 0.2500 0.3679  9 Sn 3.76-4.10, 4 Hg 3.90-4.18
Rb: 0.8717 0.7500 0.8679  9 Sn 3.76-4.10, 4 Hg 3.90-4.18
Sn: 0.0422 0.2500 0.6439  3 Hg 2.95-3.16, 2 Sn 2.98-2.99
Sn: 0.1989 0.2500 0.8478  2 Hg 2.97, 2 Sn 2.98-2.99
Sn: 0.3011 0.7500 0.3478  2 Hg 2.97, 2 Sn 2.98-2.99
Sn: 0.4578 0.7500 0.1439  3 Hg 2.95-3.16, 2 Sn 2.98-2.99
Sn: 0.5422 0.2500 0.8561  3 Hg 2.95-3.16, 2 Sn 2.98-2.99
Sn: 0.6989 0.2500 0.6522  2 Hg 2.97, 2 Sn 2.98-2.99
Sn: 0.8011 0.7500 0.1522  2 Hg 2.97, 2 Sn 2.98-2.99
Sn: 0.9578 0.7500 0.3561  3 Hg 2.95-3.16, 2 Sn 2.98-2.99
Hg: 0.1558 0.2500 0.4306  5 Sn 2.95-3.16
Hg: 0.3442 0.7500 0.9306  5 Sn 2.95-3.16
Hg: 0.6558 0.2500 0.0694  5 Sn 2.95-3.16
Hg: 0.8442 0.7500 0.5694  5 Sn 2.95-3.16

## Properties
**Energy**: -2.448 eV/atom
**DOS(E_F)**: 5.69 states/eV/cell
**Formation enthalpy at 0 K**: -0.1292 eV/atom
**SG**: No. 62

VASP calculation (PBE-GGA) on a relaxed structure of AlInMo.

Cell lengths 4.6503, 4.6503, 2.7908 Å; angles 90.00, 90.00, 120.00 degrees
Last column: nearest neighbours and their distance in Å.
Fractional positions:
Al: 0.0000 0.0000 0.0000  3 In 2.69, 2 Al 2.79, 3 Mo 2.99
In: 0.6667 0.3333 0.0368  3 Al 2.69, 2 In 2.79
Mo: 0.3333 0.6667 0.5265  2 Mo 2.79, 6 Al 2.99-3.06, 6 In 3.01-3.04

## Properties
**Energy**: -5.516 eV/atom
**DOS(E_F)**: 2.08 states/eV/cell
**Formation enthalpy at 0 K**: 0.2542 eV/atom
**SG**: No. 156
**E above lowest polymorph**: 5.36 kJ/mol of atoms